1.
# PBE-GGA Cr2CdIr, relaxed
data_Cr2CdIr
_chemical_formula_sum 'Cr2 Cd1 Ir1'
_cell_length_a 4.587
_cell_length_b 4.587
_cell_length_c 2.970
_cell_angle_alpha 90.00
_cell_angle_beta 90.00
_cell_angle_gamma 90.00
_symmetry_space_group_name_H-M 'P 1'
_symmetry_Int_Tables_number 1
loop_
_symmetry_equiv_pos_as_xyz
'x,y,z'
loop_
_atom_site_label
_atom_site_type_symbol
_atom_site_fract_x
_atom_site_fract_y
_atom_site_fract_z
Cd1 Cd 0.000 0.500 0.500
Cr1 Cr 0.000 0.000 0.000
Cr2 Cr 0.500 0.500 0.000
Ir1 Ir 0.500 0.000 0.500
# E_form   1.53 eV per formula unit
# Calculated total energy   -6.874 eV per atom
# Total magnetic moment   6.26 Bohr magnetons per cell
# DOS at the Fermi energy   5.112 states/eV/f.u.

=====

2.
# PBE-GGA Cr2CdIr, relaxed
data_Cr2CdIr
_chemical_formula_sum 'Cr2 Cd1 Ir1'
_cell_length_a 2.724
_cell_length_b 2.724
_cell_length_c 8.761
_cell_angle_alpha 90.00
_cell_angle_beta 90.00
_cell_angle_gamma 115.25
_symmetry_space_group_name_H-M 'P 1'
_symmetry_Int_Tables_number 1
loop_
_symmetry_equiv_pos_as_xyz
'x,y,z'
loop_
_atom_site_label
_atom_site_type_symbol
_atom_site_fract_x
_atom_site_fract_y
_atom_site_fract_z
Cd1 Cd 0.500 0.500 0.758
Cr1 Cr 0.000 0.000 0.039
Cr2 Cr 0.500 0.500 0.232
Ir1 Ir 0.000 0.000 0.471
# E_form   1.13 eV per formula unit
# Calculated total energy   -6.974 eV per atom
# Total magnetic moment   0.00 Bohr magnetons per cell
# DOS at the Fermi energy   2.217 states/eV/f.u.

=====

3.
# PBE-GGA Cr2CdIr, relaxed
data_Cr2CdIr
_chemical_formula_sum 'Cr2 Cd1 Ir1'
_cell_length_a 2.836
_cell_length_b 2.836
_cell_length_c 7.606
_cell_angle_alpha 90.00
_cell_angle_beta 90.00
_cell_angle_gamma 90.00
_symmetry_space_group_name_H-M 'P 1'
_symmetry_Int_Tables_number 1
loop_
_symmetry_equiv_pos_as_xyz
'x,y,z'
loop_
_atom_site_label
_atom_site_type_symbol
_atom_site_fract_x
_atom_site_fract_y
_atom_site_fract_z
Cd1 Cd 0.500 0.500 0.748
Cr1 Cr 0.000 0.000 0.039
Cr2 Cr 0.500 0.500 0.253
Ir1 Ir 0.000 0.000 0.459
# E_form   0.72 eV per formula unit
# Calculated total energy   -7.077 eV per atom
# Total magnetic moment   1.66 Bohr magnetons per cell
# DOS at the Fermi energy   2.962 states/eV/f.u.

=====

4.
# PBE-GGA Cr2CdIr, relaxed
data_Cr2CdIr
_chemical_formula_sum 'Cr2 Cd1 Ir1'
_cell_length_a 3.952
_cell_length_b 3.927
_cell_length_c 3.964
_cell_angle_alpha 90.00
_cell_angle_beta 90.00
_cell_angle_gamma 90.00
_symmetry_space_group_name_H-M 'P 1'
_symmetry_Int_Tables_number 1
loop_
_symmetry_equiv_pos_as_xyz
'x,y,z'
loop_
_atom_site_label
_atom_site_type_symbol
_atom_site_fract_x
_atom_site_fract_y
_atom_site_fract_z
Cd1 Cd 0.000 0.500 0.500
Cr1 Cr 0.000 0.000 0.000
Cr2 Cr 0.500 0.500 0.000
Ir1 Ir 0.500 0.000 0.500
# E_form   0.84 eV per formula unit
# Calculated total energy   -7.045 eV per atom
# Total magnetic moment   0.02 Bohr magnetons per cell
# DOS at the Fermi energy   2.551 states/eV/f.u.

=====

5.
# PBE-GGA Cr2CdIr, relaxed
data_Cr2CdIr
_chemical_formula_sum 'Cr2 Cd1 Ir1'
_cell_length_a 4.798
_cell_length_b 4.798
_cell_length_c 4.813
_cell_angle_alpha 79.38
_cell_angle_beta 79.38
_cell_angle_gamma 34.60
_symmetry_space_group_name_H-M 'P 1'
_symmetry_Int_Tables_number 1
loop_
_symmetry_equiv_pos_as_xyz
'x,y,z'
loop_
_atom_site_label
_atom_site_type_symbol
_atom_site_fract_x
_atom_site_fract_y
_atom_site_fract_z
Cd1 Cd 0.250 0.250 0.250
Cr1 Cr 0.011 0.011 0.917
Cr2 Cr 0.489 0.489 0.583
Ir1 Ir 0.750 0.750 0.750
# E_form   1.29 eV per formula unit
# Calculated total energy   -6.932 eV per atom
# Total magnetic moment   0.00 Bohr magnetons per cell
# DOS at the Fermi energy   3.452 states/eV/f.u.

=====

6.
# PBE-GGA Cr2CdIr, relaxed
data_Cr2CdIr
_chemical_formula_sum 'Cr2 Cd1 Ir1'
_cell_length_a 8.719
_cell_length_b 8.719
_cell_length_c 8.719
_cell_angle_alpha 18.66
_cell_angle_beta 18.66
_cell_angle_gamma 18.66
_symmetry_space_group_name_H-M 'P 1'
_symmetry_Int_Tables_number 1
loop_
_symmetry_equiv_pos_as_xyz
'x,y,z'
loop_
_atom_site_label
_atom_site_type_symbol
_atom_site_fract_x
_atom_site_fract_y
_atom_site_fract_z
Cd1 Cd 0.748 0.748 0.748
Cr1 Cr 0.985 0.985 0.985
Cr2 Cr 0.257 0.257 0.257
Ir1 Ir 0.511 0.511 0.511
# E_form   0.99 eV per formula unit
# Calculated total energy   -7.007 eV per atom
# Total magnetic moment   0.00 Bohr magnetons per cell
# DOS at the Fermi energy   3.573 states/eV/f.u.

=====

7.
# PBE-GGA Cr2CdIr, relaxed
data_Cr2CdIr
_chemical_formula_sum 'Cr2 Cd1 Ir1'
_cell_length_a 5.193
_cell_length_b 5.193
_cell_length_c 5.193
_cell_angle_alpha 146.92
_cell_angle_beta 128.01
_cell_angle_gamma 63.02
_symmetry_space_group_name_H-M 'P 1'
_symmetry_Int_Tables_number 1
loop_
_symmetry_equiv_pos_as_xyz
'x,y,z'
loop_
_atom_site_label
_atom_site_type_symbol
_atom_site_fract_x
_atom_site_fract_y
_atom_site_fract_z
Cd1 Cd 0.243 0.743 0.500
Cr1 Cr 0.972 0.972 0.000
Cr2 Cr 0.765 0.265 0.500
Ir1 Ir 0.520 0.520 0.000
# E_form   1.00 eV per formula unit
# Calculated total energy   -7.005 eV per atom
# Total magnetic moment   0.03 Bohr magnetons per cell
# DOS at the Fermi energy   3.303 states/eV/f.u.

=====

8.
# PBE-GGA Cr2CdIr, relaxed
data_Cr2CdIr
_chemical_formula_sum 'Cr2 Cd1 Ir1'
_cell_length_a 4.670
_cell_length_b 4.670
_cell_length_c 4.670
_cell_angle_alpha 127.26
_cell_angle_beta 127.26
_cell_angle_gamma 77.82
_symmetry_space_group_name_H-M 'P 1'
_symmetry_Int_Tables_number 1
loop_
_symmetry_equiv_pos_as_xyz
'x,y,z'
loop_
_atom_site_label
_atom_site_type_symbol
_atom_site_fract_x
_atom_site_fract_y
_atom_site_fract_z
Cd1 Cd 0.750 0.250 0.500
Cr1 Cr 0.000 0.000 0.000
Cr2 Cr 0.500 0.500 0.000
Ir1 Ir 0.250 0.750 0.500
# E_form   1.49 eV per formula unit
# Calculated total energy   -6.884 eV per atom
# Total magnetic moment   6.46 Bohr magnetons per cell
# DOS at the Fermi energy   2.579 states/eV/f.u.